No. 1
# KY2Hg

Crystalline KY2Hg at its relaxed geometry (PBE, Alexandria via LeMat-Bulk).

Energy of formation from the pure elements ... 0.047 eV/atom
Total energy ... -3.5346 eV per atom

a = 11.972 Å, b = 11.972 Å, c = 11.972 Å
α = 17.98°, β = 17.98°, γ = 17.98°
Positions (direct):
K (0.000, 0.000, 0.000)
Y (0.231, 0.231, 0.231)
Y (0.769, 0.769, 0.769)
Hg (0.500, 0.500, 0.500)

=====

No. 2
# TiAl2V

Crystalline TiAl2V at its relaxed geometry (PBE, Alexandria via LeMat-Bulk).

Energy of formation from the pure elements ... 0.188 eV/atom
Excess energy over the best structure of this formula in the dataset ... 0.504 eV/atom
Total energy ... -5.9370 eV per atom

a = 5.641 Å, b = 5.641 Å, c = 5.641 Å
α = 102.88°, β = 102.88°, γ = 123.64°
Positions (direct):
Ti (0.000, 0.000, 0.000)
Ti (0.750, 0.250, 0.500)
Al (0.136, 0.625, 0.011)
Al (0.375, 0.386, 0.511)
Al (0.614, 0.125, 0.989)
Al (0.875, 0.864, 0.489)
V (0.250, 0.750, 0.500)
V (0.500, 0.500, 0.000)

=====

No. 3
# Mg4SiHg

Crystalline Mg4SiHg at its relaxed geometry (PBE, Alexandria via LeMat-Bulk).

Raw formation energy ... 0.2485 eV per atom
Total energy ... -1.7687 eV per atom

a = 5.707 Å, b = 5.707 Å, c = 5.707 Å
α = 60.00°, β = 60.00°, γ = 60.00°
Positions (direct):
Mg (0.125, 0.125, 0.125)
Mg (0.125, 0.125, 0.626)
Mg (0.125, 0.626, 0.125)
Mg (0.626, 0.125, 0.125)
Si (0.750, 0.750, 0.750)
Hg (0.500, 0.500, 0.500)

=====

No. 4
# LiTaCo2

Crystalline LiTaCo2 at its relaxed geometry (PBE, Alexandria via LeMat-Bulk).

Energy of formation from the pure elements ... -0.059 eV/atom
Total energy ... -7.0533 eV per atom

a = 3.027 Å, b = 3.027 Å, c = 5.555 Å
α = 90.00°, β = 90.00°, γ = 90.00°
Positions (direct):
Li (0.000, 0.000, 0.000)
Ta (0.000, 0.000, 0.500)
Co (0.500, 0.500, 0.246)
Co (0.500, 0.500, 0.754)